Tb6SmDy, optimized geometry, DFT PBE-GGA; SG = No. 12; E above lowest polymorph = 349.2 meV/atom; ρ = 7.46 g/cm³; formation enthalpy at 0 K = 284.4 kJ/mol of formula units
1.0
4.994 -3.430 0.000
4.994 3.430 0.000
-2.061 0.000 8.232
Tb Sm Dy
6 1 1
Cartesian
2.634 1.798 1.634
0.404 0.000 3.497
5.293 1.798 6.598
2.634 -1.798 1.634
7.523 0.000 4.735
5.293 -1.798 6.598
3.963 0.000 4.116
4.994 0.000 0.000